Record 1
The following is a DFT calculation (GGA-PBE) of a geometry-optimized Ga3TcS structure.

```
Ga3TcS
1.0
4.854 0.000 0.000
0.000 4.854 0.000
0.000 0.000 4.854
Ga Tc S
3 1 1
direct
0.000 0.000 0.500
0.000 0.500 0.000
0.500 0.000 0.000
0.000 0.000 0.000
0.500 0.500 0.500
```

Record 2
The following is a DFT calculation (GGA-PBE) of a geometry-optimized Sr2TeBr structure.

```
Sr2TeBr
1.0
4.142 0.000 0.000
0.000 4.287 0.000
-0.931 0.000 8.113
Sr Te Br
2 1 1
direct
0.060 0.000 0.231
0.940 0.000 0.769
0.500 0.500 0.000
0.000 0.500 0.500
```

Record 3
The following is a DFT calculation (GGA-PBE) of a geometry-optimized LiBe4Si structure.

```
LiBe4Si
1.0
0.000 3.064 3.064
3.064 0.000 3.064
3.064 3.064 0.000
Li Be Si
1 4 1
direct
0.000 0.000 0.000
0.123 0.626 0.626
0.626 0.123 0.626
0.626 0.626 0.123
0.626 0.626 0.626
0.250 0.250 0.250
```

Record 4
The following is a DFT calculation (GGA-PBE) of a geometry-optimized La6TeP5 structure.

```
La6TeP5
1.0
3.750 -6.487 0.000
3.750 6.487 0.000
-2.505 0.000 7.061
La Te P
6 1 5
direct
0.063 0.414 0.742
0.237 0.237 0.260
0.414 0.063 0.742
0.586 0.937 0.258
0.763 0.763 0.740
0.937 0.586 0.258
0.500 0.500 0.000
0.000 0.000 0.500
0.167 0.833 0.000
0.337 0.663 0.500
0.663 0.337 0.500
0.833 0.167 0.000
```

Record 5
The following is a DFT calculation (GGA-PBE) of a geometry-optimized Sr2CoCl6 structure.

```
Sr2CoCl6
1.0
6.423 0.000 0.000
0.000 7.721 0.000
-6.284 0.000 9.163
Sr Co Cl
4 2 12
direct
0.218 0.115 0.260
0.218 0.385 0.760
0.782 0.615 0.240
0.782 0.885 0.740
0.500 0.000 0.000
0.500 0.500 0.500
0.152 0.147 0.952
0.152 0.353 0.452
0.277 0.689 0.944
0.277 0.811 0.444
0.366 0.022 0.763
0.366 0.478 0.263
0.634 0.522 0.737
0.634 0.978 0.237
0.723 0.189 0.556
0.723 0.311 0.056
0.848 0.647 0.548
0.848 0.853 0.048
```

| no. | VASP energy (eV/atom) |
| --- | --- |
| 1 | -4.2689 |
| 2 | -3.4546 |
| 3 | -3.6071 |
| 4 | -6.5890 |
| 5 | -4.1830 |